A plane-wave DFT calculation with PBE-GGA was carried out for a relaxed GdMgScTl crystal.

## Properties
For the density of states at the Fermi level, the calculation gives 3.97 states/eV per cell. The formation energy is -217 meV per atom.

Cell lengths 5.223, 5.223, 5.223 Å; angles 60.00, 60.00, 60.00 degrees
Site moments in Bohr magnetons follow the coordinates.
Element x y z (fractional)
Mg: 0.750 0.750 0.750  0.00
Sc: 0.000 0.000 0.000  0.25
Gd: 0.500 0.500 0.500  7.18
Tl: 0.250 0.250 0.250  -0.03